# CoHOF

CoHOF after structural relaxation (PBE+U, the Alexandria database).

Cell lengths 3.203, 3.199, 5.066 Å; angles 89.39, 71.57, 59.96 degrees
Fractional coordinates of all 4 atoms:
Co 0.504 0.637 0.355
H 0.577 0.097 0.749
F 0.333 0.225 0.109
O 0.716 0.028 0.540

Results
calculated volume = 42 Å³/cell
E_tot = -5.31 eV/atom
Fermi-level density of states = 0.000 states/eV per cell
mass density = 3.8 g cm⁻³
M_tot = 2.98 μB/f.u.